[1]
K2LaInI6: optimized geometry, GGA-PBE.

Output
**DOS(E_F)**: 0.0000 states/eV per atom

Geometry as POSCAR:
```
K2LaInI6
1.0
-5.207 -6.595 2.388
3.255 -8.066 0.800
0.964 -3.509 8.392
I K La In
6 2 1 1
Cartesian
1.572 -6.924 7.069
-2.079 -6.326 3.665
2.330 -10.044 3.392
-2.925 -11.904 4.901
-2.473 -8.126 8.186
0.724 -11.093 8.039
0.881 -3.581 8.013
-0.621 -9.193 5.215
-0.606 -4.849 1.266
-1.067 -13.906 7.206
```

***

[2]
KLaInI2: optimized geometry, GGA-PBE.

Output
**DOS(E_F)**: 1.4145 states/eV per atom

Geometry as POSCAR:
```
KLaInI2
1.0
-3.313 2.320 -5.016
-3.887 -4.838 0.330
-3.782 3.313 4.030
I La K In
2 1 1 1
Cartesian
-1.891 1.657 2.015
-1.656 1.160 -2.508
-1.944 -2.419 0.165
-5.491 0.398 -0.328
0.000 0.000 0.000
```

***

[3]
KLaIn2I6: optimized geometry, GGA-PBE.

Output
**DOS(E_F)**: 0.0000 states/eV per atom

Geometry as POSCAR:
```
KLaIn2I6
1.0
-0.521 -5.055 -7.062
3.947 -7.753 -0.105
-5.156 -7.517 0.395
In La K I
2 1 1 6
Cartesian
-4.940 -7.406 0.300
-0.507 -9.978 -3.545
0.966 -4.360 -2.311
-0.058 -14.605 -5.627
2.406 -10.387 -1.523
-3.785 -10.262 -4.655
-0.724 -6.444 -4.006
-1.379 -13.223 -2.665
-2.379 -9.553 -0.651
0.509 -11.190 -6.745
```

***

[4]
K2LiInI4: optimized geometry, GGA-PBE.

Output
**DOS(E_F)**: 0.0000 states/eV per atom

Geometry as POSCAR:
```
K2LiInI4
1.0
9.747 0.036 -0.040
0.029 9.747 -0.040
-4.851 -4.854 6.955
I K Li In
8 4 2 2
Cartesian
0.279 4.638 3.433
4.802 4.799 3.569
0.122 0.129 3.306
4.646 0.290 3.443
2.591 2.586 6.744
2.334 2.342 0.132
-2.647 2.710 6.910
7.571 2.218 -0.035
4.873 0.018 -0.020
2.477 7.337 3.418
4.888 4.891 -0.040
7.321 -2.391 3.438
4.925 4.928 6.875
2.462 2.464 3.438
9.761 4.909 -0.060
-2.411 2.446 3.458
```

***

[5]
KLiInI3: optimized geometry, GGA-PBE.

Output
**DOS(E_F)**: 0.0000 states/eV per atom

Geometry as POSCAR:
```
KLiInI3
1.0
-3.392 -1.884 2.698
6.316 0.602 8.362
-4.513 9.679 1.085
K In I Li
2 2 6 2
Cartesian
-0.850 6.899 9.960
-0.740 1.498 2.186
-4.031 6.882 5.948
2.441 1.515 6.197
2.052 4.984 8.131
-0.901 8.198 6.663
-3.641 3.412 4.014
2.412 0.575 9.644
-4.001 7.821 2.502
-0.689 0.199 5.482
-2.965 5.330 2.065
1.375 3.066 10.080
```

***

[6]
K2LiInI5: optimized geometry, GGA-PBE.

Output
**DOS(E_F)**: 0.1361 states/eV per atom

Geometry as POSCAR:
```
K2LiInI5
1.0
5.363 0.000 0.000
-2.681 10.088 0.000
0.000 0.000 14.244
I K Li In
10 4 2 2
Cartesian
0.000 6.090 8.921
2.681 2.782 7.299
0.000 7.306 0.177
0.000 1.004 0.132
2.681 4.171 11.624
0.000 5.916 4.502
0.000 10.070 3.868
2.681 3.998 1.799
2.681 0.018 10.990
2.681 9.083 7.254
0.000 2.259 4.961
2.681 7.829 12.083
0.000 2.233 9.677
2.681 7.855 2.555
0.000 5.029 1.609
2.681 5.059 8.731
0.000 8.240 6.379
2.681 1.848 13.501
```

***

[7]
KLiIn2I8: optimized geometry, GGA-PBE.

Output
**DOS(E_F)**: 0.0000 states/eV per atom

Geometry as POSCAR:
```
KLiIn2I8
1.0
-7.214 -1.447 -1.935
4.070 -5.250 3.707
-3.308 4.022 9.328
K I In Li
1 8 2 1
Cartesian
0.000 0.000 0.000
-2.020 -0.802 3.633
-8.118 -0.353 5.505
0.300 -3.972 1.851
-6.752 1.297 9.250
1.666 -2.323 5.596
-4.485 2.200 5.693
-1.967 -4.876 5.408
-4.432 -1.874 7.468
-4.299 -1.686 2.333
-2.153 -0.990 8.768
-1.654 2.011 4.664
```

***

[8]
KLiIn2I6: optimized geometry, GGA-PBE.

Geometry as POSCAR:
```
KLiIn2I6
1.0
8.330 0.007 -0.009
-4.159 7.217 0.007
-4.171 -2.408 7.121
I In K Li
6 2 1 1
Cartesian
-2.771 -0.493 4.838
-2.231 5.060 4.845
2.991 -0.185 1.292
2.563 4.816 1.292
1.029 2.746 4.839
-1.214 2.692 1.297
0.062 4.846 2.822
0.057 0.033 6.460
-4.100 2.440 3.494
0.076 4.844 6.573
```

***

Number 1: formation energy (no corrections) -1.2925 eV per atom, electronic total energy -3.209 eV per atom. Number 2: formation energy (no corrections) -0.1502 eV per atom, electronic total energy -2.523 eV per atom. Number 3: formation energy (no corrections) -1.0875 eV per atom, electronic total energy -3.168 eV per atom. Number 4: formation energy (no corrections) -1.1095 eV per atom, electronic total energy -2.741 eV per atom. Number 5: formation energy (no corrections) -1.0329 eV per atom, electronic total energy -2.766 eV per atom. Number 6: formation energy (no corrections) -1.0292 eV per atom, electronic total energy -2.651 eV per atom. Number 7: formation energy (no corrections) -0.7702 eV per atom, electronic total energy -2.511 eV per atom. Number 8: formation energy (no corrections) -0.7769 eV per atom, electronic total energy -2.556 eV per atom.